Entry 1:
{"formula": "Li2Bi2P", "functional": "GGA-PBE", "state": "relaxed", "lattice": [[6.7381, 0.0000, 0.0000], [0.0000, 6.7381, 0.0000], [0.0000, 0.0000, 4.7896]], "species": ["Li", "Li", "Li", "Li", "Bi", "Bi", "Bi", "Bi", "P", "P"], "frac_coords": [[0.3459, 0.8459, 0.0000], [0.8459, 0.6541, 0.0000], [0.1541, 0.3459, 0.0000], [0.6541, 0.1541, 0.0000], [0.6677, 0.8323, 0.5000], [0.8323, 0.3323, 0.5000], [0.3323, 0.1677, 0.5000], [0.1677, 0.6677, 0.5000], [0.5000, 0.5000, 0.0000], [0.0000, 0.0000, 0.0000]], "crystal_system": "tetragonal", "sg": "P4/mbm", "volume_a3_per_cell": 217, "polymorph_energy_mev_per_atom": 0.0}



Entry 2:
{"formula": "BaTl3Cd3", "functional": "GGA-PBE", "state": "relaxed", "lattice": [[-4.8261, -2.9778, -6.5848], [0.4280, -8.3807, -2.2580], [-6.2666, -5.1448, 1.1852]], "species": ["Tl", "Tl", "Tl", "Tl", "Tl", "Tl", "Ba", "Ba", "Cd", "Cd", "Cd", "Cd", "Cd", "Cd"], "frac_coords": [[0.0630, 0.6695, 0.5936], [0.3261, 0.9370, 0.4064], [0.9370, 0.3305, 0.4064], [0.6695, 0.6739, 0.5936], [0.3305, 0.3261, 0.4064], [0.6739, 0.0630, 0.5936], [0.3719, 0.3719, 0.8844], [0.6281, 0.6281, 0.1156], [0.0562, 0.0635, 0.1835], [0.9438, 0.9365, 0.8165], [0.9365, 0.3031, 0.8165], [0.0635, 0.6969, 0.1835], [0.3031, 0.9438, 0.8165], [0.6969, 0.0562, 0.1835]], "crystal_system": "trigonal", "sg": "R-3", "volume_a3_per_cell": 424, "polymorph_energy_mev_per_atom": 0.0}



Entry 3:
{"formula": "Er6Tl6Ga", "functional": "GGA-PBE", "state": "relaxed", "lattice": [[-1.9257, -2.0932, -5.8115], [6.3100, 0.3330, 1.3908], [-0.2746, -9.5654, 3.5364]], "species": ["Tl", "Tl", "Tl", "Tl", "Tl", "Tl", "Ga", "Er", "Er", "Er", "Er", "Er", "Er"], "frac_coords": [[0.0000, 0.5000, 0.2494], [0.5000, 0.5000, 0.7506], [0.5000, 0.5000, 0.2494], [0.0000, 0.5000, 0.7506], [0.5000, 0.0000, 0.7506], [0.5000, 0.0000, 0.2494], [0.0000, 0.0000, 0.0000], [0.3333, 0.6667, 0.5000], [0.0000, 0.0000, 0.3051], [0.0000, 0.0000, 0.6949], [0.6667, 0.3333, 0.0000], [0.3333, 0.6667, 0.0000], [0.6667, 0.3333, 0.5000]], "crystal_system": "hexagonal", "sg": "P6/mmm", "final_energy_ev_per_fu": -46.32, "volume_a3_per_cell": 370}



Entry 4:
{"formula": "CsVSeN2", "functional": "GGA-PBE", "state": "relaxed", "lattice": [[-0.7729, 4.1155, 0.1566], [-3.9376, -0.7851, 1.1992], [1.9040, 0.1168, 6.3282]], "species": ["N", "N", "V", "Se", "Cs"], "frac_coords": [[0.5000, 0.0000, 0.0000], [0.0000, 0.5000, 0.0000], [0.5000, 0.5000, 0.5000], [0.0000, 0.0000, 0.5000], [0.0000, 0.0000, 0.0000]], "crystal_system": "tetragonal", "sg": "P4/mmm", "volume_a3_per_cell": 116, "e_form_raw_ev_per_atom": 2.616}



Entry 5:
{"formula": "Pa2PF4", "functional": "GGA-PBE", "state": "relaxed", "lattice": [[3.8095, 0.0000, 0.0000], [0.0000, 7.4396, 0.0000], [0.0000, 0.0000, 7.4396]], "species": ["F", "F", "F", "F", "F", "F", "F", "F", "Pa", "Pa", "Pa", "Pa", "P", "P"], "frac_coords": [[0.0000, 0.3401, 0.0895], [0.5000, 0.4105, 0.8401], [0.0000, 0.6599, 0.9105], [0.5000, 0.5895, 0.1599], [0.5000, 0.8401, 0.4105], [0.0000, 0.0895, 0.3401], [0.5000, 0.1599, 0.5895], [0.0000, 0.9105, 0.6599], [0.0000, 0.2032, 0.7968], [0.5000, 0.2968, 0.2968], [0.0000, 0.7968, 0.2032], [0.5000, 0.7032, 0.7032], [0.0000, 0.5000, 0.5000], [0.5000, 0.0000, 0.0000]], "crystal_system": "tetragonal", "sg": "P4_2/mnm", "volume_a3_per_cell": 211, "e_form_raw_ev_per_atom": -2.919}



Entry 6:
{"formula": "Mn12Zn3Mo5", "functional": "GGA-PBE", "state": "relaxed", "lattice": [[11.8105, 0.0000, 0.0000], [-3.9368, 11.1351, 0.0000], [-3.9368, -5.5675, 9.6432]], "species": ["Mo", "Mo", "Mo", "Mo", "Mo", "Mo", "Mo", "Mo", "Mo", "Mo", "Mo", "Mo", "Mo", "Mo", "Mo", "Mo", "Mo", "Mo", "Mo", "Mo", "Zn", "Zn", "Zn", "Zn", "Zn", "Zn", "Zn", "Zn", "Zn", "Zn", "Zn", "Zn", "Mn", "Mn", "Mn", "Mn", "Mn", "Mn", "Mn", "Mn", "Mn", "Mn", "Mn", "Mn", "Mn", "Mn", "Mn", "Mn", "Mn", "Mn", "Mn", "Mn", "Mn", "Mn", "Mn", "Mn", "Mn", "Mn", "Mn", "Mn", "Mn", "Mn", "Mn", "Mn", "Mn", "Mn", "Mn", "Mn", "Mn", "Mn", "Mn", "Mn", "Mn", "Mn", "Mn", "Mn", "Mn", "Mn", "Mn", "Mn"], "frac_coords": [[0.2500, 0.8750, 0.1250], [0.1250, 0.7500, 0.3750], [0.7500, 0.1250, 0.8750], [0.5000, 0.5000, 0.5000], [0.6250, 0.7500, 0.8750], [0.0000, 0.5000, 0.5000], [0.8750, 0.6250, 0.7500], [0.5000, 0.0000, 0.5000], [0.3750, 0.1250, 0.7500], [0.6250, 0.8750, 0.2500], [0.3750, 0.2500, 0.1250], [0.5000, 0.5000, 0.0000], [0.0000, 0.0000, 0.0000], [0.0000, 0.5000, 0.0000], [0.5000, 0.0000, 0.0000], [0.1250, 0.3750, 0.2500], [0.7500, 0.6250, 0.3750], [0.2500, 0.3750, 0.6250], [0.8750, 0.2500, 0.6250], [0.0000, 0.0000, 0.5000], [0.1250, 0.8750, 0.7500], [0.7500, 0.8750, 0.6250], [0.2500, 0.6250, 0.8750], [0.3750, 0.7500, 0.6250], [0.8750, 0.1250, 0.2500], [0.3750, 0.6250, 0.2500], [0.6250, 0.3750, 0.7500], [0.7500, 0.3750, 0.1250], [0.1250, 0.2500, 0.8750], [0.6250, 0.2500, 0.3750], [0.8750, 0.7500, 0.1250], [0.2500, 0.1250, 0.3750], [0.7360, 0.1539, 0.0773], [0.8413, 0.9235, 0.0773], [0.1587, 0.0765, 0.9227], [0.3413, 0.5773, 0.4235], [0.0765, 0.9178, 0.1539], [0.6587, 0.4227, 0.5765], [0.3461, 0.9227, 0.7640], [0.0773, 0.4235, 0.8413], [0.9227, 0.5765, 0.1587], [0.8413, 0.9178, 0.2640], [0.5822, 0.7360, 0.6587], [0.2640, 0.8461, 0.9227], [0.1539, 0.7360, 0.5773], [0.0822, 0.1587, 0.2360], [0.4178, 0.1539, 0.5765], [0.6539, 0.5765, 0.9178], [0.1539, 0.4178, 0.0765], [0.7640, 0.4227, 0.3461], [0.4235, 0.3461, 0.5822], [0.3413, 0.7640, 0.4178], [0.9235, 0.8413, 0.5773], [0.5773, 0.2360, 0.1539], [0.9235, 0.0822, 0.8461], [0.3461, 0.4235, 0.0822], [0.6587, 0.2360, 0.5822], [0.0765, 0.1587, 0.4227], [0.4178, 0.2640, 0.3413], [0.7640, 0.3413, 0.9178], [0.5765, 0.9227, 0.6587], [0.2360, 0.5773, 0.6539], [0.5765, 0.6539, 0.4178], [0.4227, 0.7640, 0.8461], [0.7360, 0.5822, 0.1587], [0.2640, 0.4178, 0.8413], [0.4235, 0.0773, 0.3413], [0.5773, 0.3413, 0.9235], [0.0773, 0.6539, 0.7360], [0.1587, 0.0822, 0.7360], [0.8461, 0.5822, 0.9235], [0.5822, 0.8461, 0.4235], [0.4227, 0.6587, 0.0765], [0.0822, 0.9235, 0.3461], [0.6539, 0.0773, 0.2360], [0.9178, 0.0765, 0.6539], [0.2360, 0.6587, 0.0822], [0.9227, 0.3461, 0.2640], [0.9178, 0.8413, 0.7640], [0.8461, 0.2640, 0.4227]], "crystal_system": "cubic", "sg": "Ia-3d", "final_energy_ev_per_fu": -143.66, "volume_a3_per_cell": 1268}



Entry 7:
{"formula": "HfTi2Al", "functional": "GGA-PBE", "state": "relaxed", "lattice": [[-1.0677, -7.1996, 1.4446], [1.5979, 1.1970, 7.1466], [-2.4035, -2.5026, 4.8087]], "species": ["Ti", "Ti", "Ti", "Ti", "Al", "Al", "Hf", "Hf"], "frac_coords": [[0.8750, 0.8557, 0.7500], [0.3750, 0.3943, 0.7500], [0.1443, 0.6250, 0.2500], [0.6057, 0.1250, 0.2500], [0.5000, 0.5000, 0.0000], [0.2500, 0.7500, 0.5000], [0.0000, 0.0000, 0.0000], [0.7500, 0.2500, 0.5000]], "crystal_system": "tetragonal", "sg": "I-42d", "final_energy_ev_per_fu": -28.28, "volume_a3_per_cell": 152}



Entry 8:
{"formula": "Cd2GaHg9", "functional": "GGA-PBE", "state": "relaxed", "lattice": [[-3.4777, -0.1274, -2.7938], [-2.2373, -2.5483, 2.9011], [-5.7852, 12.6228, 6.6260]], "species": ["Hg", "Hg", "Hg", "Hg", "Hg", "Hg", "Hg", "Hg", "Hg", "Ga", "Cd", "Cd"], "frac_coords": [[0.0000, 0.5000, 0.8340], [0.5000, 0.5000, 0.6675], [0.5000, 0.0000, 0.5000], [0.5000, 0.0000, 0.1660], [0.5000, 0.5000, 0.3325], [0.5000, 0.5000, 0.0000], [0.0000, 0.5000, 0.5000], [0.5000, 0.0000, 0.8340], [0.0000, 0.5000, 0.1660], [0.0000, 0.0000, 0.0000], [0.0000, 0.0000, 0.6689], [0.0000, 0.0000, 0.3311]], "crystal_system": "tetragonal", "sg": "P4/mmm", "final_energy_ev_per_fu": -7.11, "volume_a3_per_cell": 306}



Entry 9:
{"formula": "MnP2Ru", "functional": "GGA-PBE", "state": "relaxed", "lattice": [[0.7304, -3.0120, 2.6314], [-2.8682, -1.1199, 2.6552], [-1.8837, -3.5772, -0.4308]], "species": ["Ru", "Mn", "P", "P"], "frac_coords": [[0.5000, 0.5000, 0.5000], [0.0000, 0.0000, 0.0000], [0.2500, 0.2500, 0.2500], [0.7500, 0.7500, 0.7500]], "crystal_system": "cubic", "sg": "Fm-3m", "volume_a3_per_cell": 48, "polymorph_energy_mev_per_atom": 154.9}



Entry 10:
{"formula": "YHo2Tm2", "functional": "GGA-PBE", "state": "relaxed", "lattice": [[-3.9870, -6.5935, 5.0546], [5.5021, 2.1052, 7.0862], [-2.4834, 2.4271, 1.2072]], "species": ["Ho", "Ho", "Ho", "Ho", "Y", "Y", "Tm", "Tm", "Tm", "Tm"], "frac_coords": [[0.3729, 0.1271, 0.0000], [0.6271, 0.8729, 0.0000], [0.8729, 0.3729, 0.0000], [0.1271, 0.6271, 0.0000], [0.5000, 0.5000, 0.0000], [0.0000, 0.0000, 0.0000], [0.6706, 0.1706, 0.5000], [0.1706, 0.3294, 0.5000], [0.8294, 0.6706, 0.5000], [0.3294, 0.8294, 0.5000]], "crystal_system": "tetragonal", "sg": "P4/mbm", "volume_a3_per_cell": 312, "polymorph_energy_mev_per_atom": 49.5}



Entry 11:
{"formula": "CeSmDy", "functional": "GGA-PBE", "state": "relaxed", "lattice": [[5.6646, 0.0000, 0.0000], [0.0000, 9.7789, 0.0000], [0.0000, 0.0000, 6.9080]], "species": ["Ce", "Ce", "Ce", "Ce", "Sm", "Sm", "Sm", "Sm", "Dy", "Dy", "Dy", "Dy"], "frac_coords": [[0.2501, 0.7500, 0.5000], [0.7499, 0.2500, 0.0000], [0.2501, 0.7500, 0.0000], [0.7499, 0.2500, 0.5000], [0.7502, 0.9167, 0.7500], [0.2498, 0.0833, 0.2500], [0.7502, 0.5833, 0.2500], [0.2498, 0.4167, 0.7500], [0.7498, 0.5831, 0.7500], [0.2502, 0.4169, 0.2500], [0.7498, 0.9169, 0.2500], [0.2502, 0.0831, 0.7500]], "crystal_system": "orthorhombic", "sg": "Cmcm", "volume_a3_per_cell": 383, "polymorph_energy_mev_per_atom": 49.7}



Entry 12:
{"formula": "CaPu2TlO8", "functional": "GGA-PBE", "state": "relaxed", "lattice": [[-2.0487, -4.4382, -2.2680], [4.4754, -0.5589, -2.9491], [0.9390, -0.4496, 6.4335]], "species": ["O", "O", "O", "O", "O", "O", "O", "O", "Pu", "Pu", "Tl", "Ca"], "frac_coords": [[0.6025, 0.6272, 0.7507], [0.1483, 0.6275, 0.7513], [0.3725, 0.3970, 0.2487], [0.3728, 0.8518, 0.2493], [0.8762, 0.8517, 0.2487], [0.8764, 0.3975, 0.2493], [0.6030, 0.1238, 0.7513], [0.1482, 0.1236, 0.7507], [0.2500, 0.7500, 0.5000], [0.5000, 0.5000, 0.0000], [0.0000, 0.0000, 0.0000], [0.7500, 0.2500, 0.5000]], "crystal_system": "tetragonal", "sg": "I-4m2", "volume_a3_per_cell": 154, "e_form_raw_ev_per_atom": -2.213}